First-principles (PBE) data for an optimized crystal structure of Pm6P2CBr3, as listed in the Alexandria database.

Values from the calculation:
The value obtained for the total energy is -5.767 eV per atom. The space-group type is No. 12. As for the formation energy from raw total energies: -15.64 eV per formula unit.

Unit cell a=9.5635 b=9.5635 c=8.6941 alpha=108.11 beta=108.11 gamma=24.19
Fractional coordinates of all 12 atoms:
1 Pm 0.0071 0.0071 0.1996
2 Pm 0.3236 0.3236 0.4471
3 Pm 0.3576 0.3576 0.9066
4 Pm 0.6424 0.6424 0.0934
5 Pm 0.6764 0.6764 0.5529
6 Pm 0.9929 0.9929 0.8004
7 P 0.1651 0.1651 0.3269
8 P 0.8349 0.8349 0.6731
9 C 0.5000 0.5000 0.0000
10 Br 0.1671 0.1671 0.8332
11 Br 0.5000 0.5000 0.5000
12 Br 0.8329 0.8329 0.1668

First-principles (PBE) data for an optimized crystal structure of Ru4F, as listed in the Alexandria database.

Values from the calculation:
The value obtained for the total energy is -6.695 eV per atom. The space-group type is No. 221. As for the formation energy from raw total energies: 5.50 eV per formula unit.

Unit cell a=4.1262 b=4.1262 c=4.1262 alpha=90.00 beta=90.00 gamma=90.00
Fractional coordinates of all 5 atoms:
1 Ru 0.0000 0.0000 0.0000
2 Ru 0.0000 0.5000 0.5000
3 Ru 0.5000 0.0000 0.5000
4 Ru 0.5000 0.5000 0.0000
5 F 0.5000 0.5000 0.5000

First-principles (PBE) data for an optimized crystal structure of SiTcH3, as listed in the Alexandria database.

Values from the calculation:
The value obtained for the total energy is -4.252 eV per atom. The space-group type is No. 221. The value obtained for the distance to the lowest polymorph of the same formula is 407 meV per atom.

Unit cell a=3.3423 b=3.3423 c=3.3423 alpha=90.00 beta=90.00 gamma=90.00
Fractional coordinates of all 5 atoms:
1 Si 0.0000 0.0000 0.0000
2 Tc 0.5000 0.5000 0.5000
3 H 0.0000 0.0000 0.5000
4 H 0.0000 0.5000 0.0000
5 H 0.5000 0.0000 0.0000

First-principles (PBE) data for an optimized crystal structure of CeVS6, as listed in the Alexandria database.

Values from the calculation:
The value obtained for the total energy is -5.370 eV per atom. The space-group type is No. 225. As for the formation energy from raw total energies: -3.14 eV per formula unit.

Unit cell a=6.9916 b=6.9916 c=6.9916 alpha=60.00 beta=60.00 gamma=60.00
Fractional coordinates of all 8 atoms:
1 Ce 0.0000 0.0000 0.0000
2 V 0.5000 0.5000 0.5000
3 S 0.2692 0.2692 0.7308
4 S 0.2692 0.7308 0.2692
5 S 0.2692 0.7308 0.7308
6 S 0.7308 0.2692 0.2692
7 S 0.7308 0.2692 0.7308
8 S 0.7308 0.7308 0.2692

First-principles (PBE) data for an optimized crystal structure of Mn2Ga2Rh, as listed in the Alexandria database.

Values from the calculation:
The value obtained for the total energy is -6.310 eV per atom. The space-group type is No. 127. The formation energy is 0.2 eV/f.u.

Unit cell a=7.0945 b=7.0945 c=2.8098 alpha=90.00 beta=90.00 gamma=90.00
Fractional coordinates of all 10 atoms:
1 Mn 0.1228 0.3772 0.0000
2 Mn 0.3772 0.8772 0.0000
3 Mn 0.6228 0.1228 0.0000
4 Mn 0.8772 0.6228 0.0000
5 Ga 0.1770 0.6770 0.5000
6 Ga 0.3230 0.1770 0.5000
7 Ga 0.6770 0.8230 0.5000
8 Ga 0.8230 0.3230 0.5000
9 Rh 0.0000 0.0000 0.0000
10 Rh 0.5000 0.5000 0.0000

First-principles (PBE) data for an optimized crystal structure of HgSb2TePb, as listed in the Alexandria database.

Values from the calculation:
The value obtained for the total energy is -2.512 eV per atom. The space-group type is No. 123. The value obtained for the distance to the lowest polymorph of the same formula is 0 meV per atom. As for the formation energy from raw total energies: 2.83 eV per formula unit.

Unit cell a=5.5097 b=5.5097 c=5.7804 alpha=90.00 beta=90.00 gamma=90.00
Fractional coordinates of all 5 atoms:
1 Hg 0.0000 0.0000 0.0000
2 Sb 0.0000 0.5000 0.0000
3 Sb 0.5000 0.0000 0.0000
4 Te 0.0000 0.0000 0.5000
5 Pb 0.5000 0.5000 0.5000

First-principles (PBE) data for an optimized crystal structure of LaNdHoTm3, as listed in the Alexandria database.

Values from the calculation:
The value obtained for the total energy is -4.509 eV per atom. The space-group type is No. 63. The formation energy is 0.6 eV/f.u.

Unit cell a=6.4738 b=6.4738 c=11.6294 alpha=90.00 beta=90.00 gamma=126.66
Fractional coordinates of all 12 atoms:
1 La 0.0034 0.9966 0.7500
2 La 0.9966 0.0034 0.2500
3 Nd 0.5000 0.5000 0.0000
4 Nd 0.5000 0.5000 0.5000
5 Ho 0.3246 0.6754 0.7500
6 Ho 0.6754 0.3246 0.2500
7 Tm 0.1756 0.8244 0.0030
8 Tm 0.1756 0.8244 0.4970
9 Tm 0.3283 0.6717 0.2500
10 Tm 0.6717 0.3283 0.7500
11 Tm 0.8244 0.1756 0.5030
12 Tm 0.8244 0.1756 0.9970

First-principles (PBE) data for an optimized crystal structure of Y3ThS, as listed in the Alexandria database.

Values from the calculation:
The value obtained for the total energy is -6.793 eV per atom. The space-group type is No. 221. As for the formation energy from raw total energies: -3.03 eV per formula unit.

Unit cell a=5.3080 b=5.3080 c=5.3080 alpha=90.00 beta=90.00 gamma=90.00
Fractional coordinates of all 5 atoms:
1 Y 0.0000 0.0000 0.5000
2 Y 0.0000 0.5000 0.0000
3 Y 0.5000 0.0000 0.0000
4 Th 0.5000 0.5000 0.5000
5 S 0.0000 0.0000 0.0000

First-principles (PBE) data for an optimized crystal structure of Ac3Cu2NiPd9, as listed in the Alexandria database.

Values from the calculation:
The value obtained for the total energy is -5.229 eV per atom. The space-group type is No. 164. The formation energy is -5.4 eV/f.u.

Unit cell a=5.8663 b=5.8663 c=10.9797 alpha=90.00 beta=90.00 gamma=120.00
Fractional coordinates of all 15 atoms:
1 Ac 0.0000 0.0000 0.0000
2 Ac 0.3333 0.6667 0.6027
3 Ac 0.6667 0.3333 0.3973
4 Cu 0.3333 0.6667 0.1656
5 Cu 0.6667 0.3333 0.8344
6 Ni 0.0000 0.0000 0.5000
7 Pd 0.0000 0.5000 0.0000
8 Pd 0.1641 0.3282 0.3290
9 Pd 0.1641 0.8359 0.3290
10 Pd 0.3282 0.1641 0.6710
11 Pd 0.5000 0.0000 0.0000
12 Pd 0.5000 0.5000 0.0000
13 Pd 0.6718 0.8359 0.3290
14 Pd 0.8359 0.1641 0.6710
15 Pd 0.8359 0.6718 0.6710

First-principles (PBE) data for an optimized crystal structure of Pu4P2H, as listed in the Alexandria database.

Values from the calculation:
The value obtained for the total energy is -10.848 eV per atom. The space-group type is No. 139. The value obtained for the distance to the lowest polymorph of the same formula is 16 meV per atom.

Unit cell a=4.2645 b=4.2645 c=15.7031 alpha=90.00 beta=90.00 gamma=90.00
Fractional coordinates of all 14 atoms:
1 Pu 0.0000 0.0000 0.1825
2 Pu 0.0000 0.0000 0.8175
3 Pu 0.0000 0.5000 0.0000
4 Pu 0.0000 0.5000 0.5000
5 Pu 0.5000 0.0000 0.0000
6 Pu 0.5000 0.0000 0.5000
7 Pu 0.5000 0.5000 0.3175
8 Pu 0.5000 0.5000 0.6825
9 P 0.0000 0.0000 0.3662
10 P 0.0000 0.0000 0.6338
11 P 0.5000 0.5000 0.1338
12 P 0.5000 0.5000 0.8662
13 H 0.0000 0.0000 0.0000
14 H 0.5000 0.5000 0.5000

First-principles (PBE) data for an optimized crystal structure of LiCdPb2, as listed in the Alexandria database.

Values from the calculation:
The value obtained for the total energy is -2.653 eV per atom. The space-group type is No. 123. The formation energy is -0.4 eV/f.u.

Unit cell a=3.7828 b=3.7828 c=7.1823 alpha=90.00 beta=90.00 gamma=90.00
Fractional coordinates of all 4 atoms:
1 Li 0.0000 0.0000 0.0000
2 Cd 0.0000 0.0000 0.5000
3 Pb 0.5000 0.5000 0.2442
4 Pb 0.5000 0.5000 0.7558

First-principles (PBE) data for an optimized crystal structure of Tl2CdHg4, as listed in the Alexandria database.

Values from the calculation:
The value obtained for the total energy is -0.857 eV per atom. The space-group type is No. 139. The value obtained for the distance to the lowest polymorph of the same formula is 102 meV per atom. The formation energy is 0.9 eV/f.u.

Unit cell a=5.5754 b=5.5754 c=15.7122 alpha=90.00 beta=90.00 gamma=90.00
Fractional coordinates of all 14 atoms:
1 Tl 0.0000 0.0000 0.1164
2 Tl 0.0000 0.0000 0.8836
3 Tl 0.5000 0.5000 0.3836
4 Tl 0.5000 0.5000 0.6164
5 Cd 0.0000 0.0000 0.5000
6 Cd 0.5000 0.5000 0.0000
7 Hg 0.0000 0.0000 0.3110
8 Hg 0.0000 0.0000 0.6890
9 Hg 0.0000 0.5000 0.0000
10 Hg 0.0000 0.5000 0.5000
11 Hg 0.5000 0.0000 0.0000
12 Hg 0.5000 0.0000 0.5000
13 Hg 0.5000 0.5000 0.1890
14 Hg 0.5000 0.5000 0.8110

First-principles (PBE) data for an optimized crystal structure of Co2AgOsW, as listed in the Alexandria database.

Values from the calculation:
The value obtained for the total energy is -6.073 eV per atom. The space-group type is No. 123. The formation energy is 10.9 eV/f.u.

Unit cell a=4.3306 b=4.3306 c=4.8997 alpha=90.00 beta=90.00 gamma=90.00
Fractional coordinates of all 5 atoms:
1 Co 0.0000 0.5000 0.0000
2 Co 0.5000 0.0000 0.0000
3 Ag 0.0000 0.0000 0.5000
4 Os 0.0000 0.0000 0.0000
5 W 0.5000 0.5000 0.5000

First-principles (PBE) data for an optimized crystal structure of MnSbTe2As, as listed in the Alexandria database.

Values from the calculation:
The value obtained for the total energy is -4.317 eV per atom. The space-group type is No. 123. The value obtained for the distance to the lowest polymorph of the same formula is 0 meV per atom. As for the formation energy from raw total energies: 2.64 eV per formula unit.

Unit cell a=5.0622 b=5.0622 c=5.0952 alpha=90.00 beta=90.00 gamma=90.00
Fractional coordinates of all 5 atoms:
1 Mn 0.0000 0.0000 0.0000
2 Sb 0.0000 0.0000 0.5000
3 Te 0.0000 0.5000 0.0000
4 Te 0.5000 0.0000 0.0000
5 As 0.5000 0.5000 0.5000

First-principles (PBE) data for an optimized crystal structure of BeIr2Rh, as listed in the Alexandria database.

Values from the calculation:
The value obtained for the total energy is -7.294 eV per atom. The space-group type is No. 166. The formation energy is -0.4 eV/f.u.

Unit cell a=2.7183 b=2.7183 c=24.6844 alpha=90.00 beta=90.00 gamma=120.00
Fractional coordinates of all 12 atoms:
1 Be 0.0000 0.0000 0.0000
2 Be 0.3333 0.6667 0.6667
3 Be 0.6667 0.3333 0.3333
4 Ir 0.0000 0.0000 0.2580
5 Ir 0.0000 0.0000 0.7420
6 Ir 0.3333 0.6667 0.4087
7 Ir 0.3333 0.6667 0.9247
8 Ir 0.6667 0.3333 0.0753
9 Ir 0.6667 0.3333 0.5913
10 Rh 0.0000 0.0000 0.5000
11 Rh 0.3333 0.6667 0.1667
12 Rh 0.6667 0.3333 0.8333

First-principles (PBE) data for an optimized crystal structure of Li3TiIr, as listed in the Alexandria database.

Values from the calculation:
The value obtained for the total energy is -3.734 eV per atom. The space-group type is No. 221. The value obtained for the distance to the lowest polymorph of the same formula is 0 meV per atom. The formation energy is 3.8 eV/f.u.

Unit cell a=4.4511 b=4.4511 c=4.4511 alpha=90.00 beta=90.00 gamma=90.00
Fractional coordinates of all 5 atoms:
1 Li 0.0000 0.0000 0.5000
2 Li 0.0000 0.5000 0.0000
3 Li 0.5000 0.0000 0.0000
4 Ti 0.5000 0.5000 0.5000
5 Ir 0.0000 0.0000 0.0000

First-principles (PBE) data for an optimized crystal structure of Tb2Er8In3, as listed in the Alexandria database.

Values from the calculation:
The value obtained for the total energy is -4.030 eV per atom. The space-group type is No. 166. The formation energy is 1.6 eV/f.u.

Unit cell a=12.1513 b=12.1513 c=12.1513 alpha=30.30 beta=30.30 gamma=30.30
Fractional coordinates of all 13 atoms:
1 Tb 0.1369 0.1369 0.1369
2 Tb 0.8631 0.8631 0.8631
3 Er 0.2196 0.2196 0.7211
4 Er 0.2196 0.7211 0.2196
5 Er 0.2269 0.2269 0.2269
6 Er 0.2789 0.7804 0.7804
7 Er 0.7211 0.2196 0.2196
8 Er 0.7731 0.7731 0.7731
9 Er 0.7804 0.2789 0.7804
10 Er 0.7804 0.7804 0.2789
11 In 0.3123 0.3123 0.3123
12 In 0.5000 0.5000 0.5000
13 In 0.6877 0.6877 0.6877